# 1
# RbBiP2S6, optimized geometry, DFT PBE
data_RbBiP2S6
_cell_length_a 7.488
_cell_length_b 7.488
_cell_length_c 11.784
_cell_angle_alpha 102.77
_cell_angle_beta 102.77
_cell_angle_gamma 102.47
_space_group_name_H-M_alt 'P 1'
_space_group_IT_number 1
loop_
_space_group_symop_operation_xyz
'x,y,z'
loop_
_atom_site_label
_atom_site_fract_x
_atom_site_fract_y
_atom_site_fract_z
Rb1 0.060 0.940 0.750
Rb2 0.940 0.060 0.250
Bi1 0.497 0.503 0.750
Bi2 0.503 0.497 0.250
P1 0.035 0.426 0.653
P2 0.426 0.035 0.153
P3 0.574 0.965 0.847
P4 0.965 0.574 0.347
S1 0.176 0.241 0.575
S2 0.197 0.525 0.838
S3 0.241 0.176 0.075
S4 0.247 0.750 0.337
S5 0.250 0.753 0.163
S6 0.475 0.803 0.662
S7 0.525 0.197 0.338
S8 0.750 0.247 0.837
S9 0.753 0.250 0.663
S10 0.759 0.824 0.925
S11 0.803 0.475 0.162
S12 0.824 0.759 0.425
# Volume in A^3/atom: 30.2
# Space-group type: C2/c, No. 15
# M_tot in μB per formula unit: 0.00
# Final energy in eV/atom: -4.391

---

# 2
# Li2ZnP, optimized geometry, DFT PBE
data_Li2ZnP
_cell_length_a 2.844
_cell_length_b 4.182
_cell_length_c 4.745
_cell_angle_alpha 90.00
_cell_angle_beta 90.00
_cell_angle_gamma 90.00
_space_group_name_H-M_alt 'P 1'
_space_group_IT_number 1
loop_
_space_group_symop_operation_xyz
'x,y,z'
loop_
_atom_site_label
_atom_site_fract_x
_atom_site_fract_y
_atom_site_fract_z
Li1 0.000 0.000 0.000
Li2 0.000 0.500 0.341
Zn1 0.500 0.000 0.518
P1 0.500 0.500 0.836
# Volume in A^3/atom: 14.1
# Energy of formation from the pure elements in eV per atom: -0.35
# Space-group type: Pmm2, No. 25
# M_tot in μB per formula unit: 0.00
# Energy above the most stable polymorph in this dataset in eV per atom: 0.046
# D(E_F) in states/eV/atom: 0.18
# Final energy in eV/atom: -2.974